PuBeFeO5 | GGA+U | relaxed

Values from the calculation:
DFT total energy	-8.232	eV/atom
DOS(E_F)	16.83	states/eV/cell

a b c (Å): 6.375 8.590 7.679
angles (deg): 90.00 114.08 90.00
Space group C2/c (No. 15)
Asymmetric unit:
Pu 0.000 0.000 0.000
Be 0.000 0.311 0.250
Fe 0.000 0.354 0.750
O 0.000 0.110 0.750
O 0.138 0.196 0.158
O 0.166 0.436 0.412